DFT (GGA+U) results for a relaxed Sr2MnGaO5 crystal. Values from VASP.

Structure (Quantum ESPRESSO input):
```
&SYSTEM
  ibrav = 0, nat = 18, ntyp = 4
/
ATOMIC_SPECIES
Sr 87.62 Sr.upf
Mn 54.94 Mn.upf
Ga 69.72 Ga.upf
O 16.00 O.upf
ATOMIC_POSITIONS crystal
Sr 0.113 0.887 0.500
Sr 0.140 0.860 0.129
Sr 0.860 0.140 0.629
Sr 0.887 0.113 0.000
Mn 0.215 0.785 0.845
Mn 0.785 0.215 0.345
Ga 0.439 0.561 0.262
Ga 0.561 0.439 0.762
O 0.063 0.937 0.853
O 0.287 0.713 0.466
O 0.313 0.687 0.201
O 0.347 0.653 0.826
O 0.495 0.505 0.612
O 0.505 0.495 0.112
O 0.653 0.347 0.326
O 0.687 0.313 0.701
O 0.713 0.287 0.966
O 0.937 0.063 0.353
CELL_PARAMETERS angstrom
1.675 -7.044 0.000
1.675 7.044 0.000
0.000 0.000 10.505
```

ΔE to the lowest computed polymorph (meV/atom): 94
Space group: Cmc2_1, No. 36